# Cs2VTcF

Crystalline Cs2VTcF at its relaxed geometry (PBE with a Hubbard U, Alexandria via LeMat-Bulk).

Cell: 6.875 6.875 4.223 Å, 90.00 90.00 90.00°
Space group P4/mmm (No. 123)
One atom of each set of equivalent atoms:
Cs: 0.000 0.500 0.000
V: 0.000 0.000 0.000
Tc: 0.000 0.000 0.500
F: 0.500 0.500 0.500

The total energy comes out at -3.495 eV/atom. The value obtained for the density of states at the Fermi level is 3.9 states/eV/f.u.